# Er3MgSn3

A relaxed Er3MgSn3 crystal (GGA-PBE, Alexandria).

E	-4.249	eV per atom
theoretical density	6.59	g cm⁻³
space group	P6_3/m
formation energy	-350	meV per atom

Cell lengths 9.1778, 9.1778, 6.0977 Å; angles 90.00, 90.00, 120.00 degrees
Closest atoms and distances in Å follow each position.
Fractional coordinates of all 14 atoms:
Er1 0.0375 0.6876 0.2500  5 Sn 3.01-3.13, 1 Mg 3.33
Er2 0.3124 0.3499 0.2500  5 Sn 3.01-3.13, 1 Mg 3.33
Er3 0.3499 0.0375 0.7500  5 Sn 3.01-3.13, 1 Mg 3.33
Er4 0.6501 0.9625 0.2500  5 Sn 3.01-3.13, 1 Mg 3.33
Er5 0.6876 0.6501 0.7500  5 Sn 3.01-3.13, 1 Mg 3.33
Er6 0.9625 0.3124 0.7500  5 Sn 3.01-3.13, 1 Mg 3.33
Mg1 0.3333 0.6667 0.7500  3 Sn 2.85
Mg2 0.6667 0.3333 0.2500  3 Sn 2.85
Sn1 0.0306 0.6821 0.7500  1 Mg 2.85, 5 Er 3.01-3.13
Sn2 0.3179 0.3485 0.7500  1 Mg 2.85, 5 Er 3.01-3.13
Sn3 0.3485 0.0306 0.2500  1 Mg 2.85, 5 Er 3.01-3.13
Sn4 0.6515 0.9694 0.7500  1 Mg 2.85, 5 Er 3.01-3.13
Sn5 0.6821 0.6515 0.2500  1 Mg 2.85, 5 Er 3.01-3.13
Sn6 0.9694 0.3179 0.2500  1 Mg 2.85, 5 Er 3.01-3.13

# Sm2PaAs3

A relaxed Sm2PaAs3 crystal (GGA-PBE, Alexandria).

E	-6.855	eV per atom
theoretical density	8.19	g cm⁻³
space group	Immm
formation energy	-1375	meV per atom

Cell lengths 7.2166, 7.2166, 7.2166 Å; angles 146.39, 131.94, 59.92 degrees
Closest atoms and distances in Å follow each position.
Fractional coordinates of all 6 atoms:
Sm1 0.1684 0.1684 0.0000  6 As 2.94-3.00
Sm2 0.8316 0.8316 0.0000  6 As 2.94-3.00
Pa1 0.5000 0.5000 0.0000  6 As 2.89-2.94
As1 0.0000 0.5000 0.5000  2 Pa 2.94, 4 Sm 2.96
As2 0.3405 0.8405 0.5000  2 Pa 2.89, 4 Sm 2.94-3.00
As3 0.6595 0.1595 0.5000  2 Pa 2.89, 4 Sm 2.94-3.00

# BaLaNp2O8

A relaxed BaLaNp2O8 crystal (GGA-PBE, Alexandria).

E	-8.928	eV per atom
theoretical density	8.23	g cm⁻³
space group	I-4
formation energy without anion corrections	-34.7	eV/f.u.

Cell lengths 6.7970, 6.7970, 6.7970 Å; angles 130.53, 130.53, 72.55 degrees
Closest atoms and distances in Å follow each position.
Fractional coordinates of all 12 atoms:
Ba1 0.0000 0.0000 0.0000  8 O 2.60-2.65
La1 0.2500 0.7500 0.5000  8 O 2.50-2.51
Np1 0.5000 0.5000 0.0000  4 O 2.11
Np2 0.7500 0.2500 0.5000  4 O 2.12
O1 0.0874 0.1427 0.5222  1 Np 2.12
O2 0.1806 0.6085 0.0110  1 Np 2.11
O3 0.3915 0.4026 0.5722  1 Np 2.11
O4 0.4349 0.9126 0.0553  1 Np 2.12
O5 0.5974 0.1696 0.9890  1 Np 2.11
O6 0.6204 0.5651 0.4778  1 Np 2.12
O7 0.8304 0.8194 0.4278  1 Np 2.11
O8 0.8573 0.3796 0.9447  1 Np 2.12

# SmPaSn2

A relaxed SmPaSn2 crystal (GGA-PBE, Alexandria).

E	-5.840	eV per atom
theoretical density	9.37	g cm⁻³
relative energy among the computed polymorphs	120	meV/atom
space group	Fm-3m
formation energy	-285	meV per atom

Cell lengths 5.3724, 5.3724, 5.3724 Å; angles 60.00, 60.00, 60.00 degrees
Closest atoms and distances in Å follow each position.
Fractional coordinates of all 4 atoms:
Sm1 0.0000 0.0000 0.0000  8 Sn 3.29
Pa1 0.5000 0.5000 0.5000  8 Sn 3.29
Sn1 0.2500 0.2500 0.2500  4 Pa 3.29, 4 Sm 3.29
Sn2 0.7500 0.7500 0.7500  4 Pa 3.29, 4 Sm 3.29

# Al4InPd5

A relaxed Al4InPd5 crystal (GGA-PBE, Alexandria).

E	-5.166	eV per atom
theoretical density	8.22	g cm⁻³
space group	P4/mmm
formation energy	-799	meV per atom

Cell lengths 3.1160, 3.1160, 15.6985 Å; angles 90.00, 90.00, 90.00 degrees
Closest atoms and distances in Å follow each position.
Fractional coordinates of all 10 atoms:
Al1 0.0000 0.0000 0.0959  8 Pd 2.66-2.67
Al2 0.0000 0.0000 0.2881  8 Pd 2.62-2.68
Al3 0.0000 0.0000 0.7119  8 Pd 2.62-2.68
Al4 0.0000 0.0000 0.9041  8 Pd 2.66-2.67
In1 0.0000 0.0000 0.5000  8 Pd 2.91, 4 In 3.12
Pd1 0.5000 0.5000 0.0000  8 Al 2.67
Pd2 0.5000 0.5000 0.1906  8 Al 2.66-2.68, 1 Pd 2.96
Pd3 0.5000 0.5000 0.3789  4 Al 2.62, 4 In 2.91
Pd4 0.5000 0.5000 0.6211  4 Al 2.62, 4 In 2.91
Pd5 0.5000 0.5000 0.8094  8 Al 2.66-2.68, 1 Pd 2.96

# Zr3OsW

A relaxed Zr3OsW crystal (GGA-PBE, Alexandria).

E	-8.590	eV per atom
theoretical density	8.83	g cm⁻³
relative energy among the computed polymorphs	350	meV/atom
space group	Pm-3m
formation energy	1376	meV per atom

Cell lengths 4.9574, 4.9574, 4.9574 Å; angles 90.00, 90.00, 90.00 degrees
Closest atoms and distances in Å follow each position.
Fractional coordinates of all 5 atoms:
Zr1 0.0000 0.0000 0.5000  2 W 2.48
Zr2 0.0000 0.5000 0.0000  2 W 2.48
Zr3 0.5000 0.0000 0.0000  2 W 2.48
Os1 0.5000 0.5000 0.5000  12 Zr 3.51
W1 0.0000 0.0000 0.0000  6 Zr 2.48

# Th2ScAl6

A relaxed Th2ScAl6 crystal (GGA-PBE, Alexandria).

E	-5.239	eV per atom
theoretical density	5.72	g cm⁻³
space group	P6/mmm
formation energy	-392	meV per atom

Cell lengths 7.8924, 7.8924, 3.6118 Å; angles 90.00, 90.00, 120.00 degrees
Closest atoms and distances in Å follow each position.
Fractional coordinates of all 9 atoms:
Th1 0.3333 0.6667 0.0000  12 Al 3.21
Th2 0.6667 0.3333 0.0000  12 Al 3.21
Sc1 0.0000 0.0000 0.0000  12 Al 3.15
Al1 0.0000 0.3274 0.5000  3 Al 2.58-2.73
Al2 0.0000 0.6726 0.5000  3 Al 2.58-2.73
Al3 0.3274 0.0000 0.5000  3 Al 2.58-2.73
Al4 0.3274 0.3274 0.5000  3 Al 2.58-2.73
Al5 0.6726 0.0000 0.5000  3 Al 2.58-2.73
Al6 0.6726 0.6726 0.5000  3 Al 2.58-2.73

# SbAsAu2

A relaxed SbAsAu2 crystal (GGA-PBE, Alexandria).

E	-3.703	eV per atom
theoretical density	11.09	g cm⁻³
relative energy among the computed polymorphs	94	meV/atom
space group	Imm2
formation energy without anion corrections	0.5	eV/f.u.

Cell lengths 6.9775, 6.9775, 6.9775 Å; angles 151.64, 146.66, 44.32 degrees
Closest atoms and distances in Å follow each position.
Fractional coordinates of all 4 atoms:
Sb1 0.0000 0.0000 0.0000  4 Au 2.89, 2 As 3.01
As1 0.1918 0.6918 0.5000  4 Au 2.72, 2 Sb 3.01
Au1 0.4079 0.4079 0.0000  4 Sb 2.89, 2 Au 2.92
Au2 0.7439 0.2439 0.5000  4 As 2.72, 2 Au 2.92

# KHfTlBr6

A relaxed KHfTlBr6 crystal (GGA-PBE, Alexandria).

E	-3.993	eV per atom
theoretical density	4.20	g cm⁻³
space group	P-31c
formation energy without anion corrections	-12.5	eV/f.u.

Cell lengths 7.9167, 7.9167, 13.1238 Å; angles 90.00, 90.00, 120.00 degrees
Closest atoms and distances in Å follow each position.
Fractional coordinates of all 18 atoms:
K1 0.0000 0.0000 0.0000  6 Br 3.40
K2 0.0000 0.0000 0.5000  6 Br 3.40
Hf1 0.3333 0.6667 0.2500  6 Br 2.63
Hf2 0.6667 0.3333 0.7500  6 Br 2.63
Tl1 0.3333 0.6667 0.7500  6 Br 3.31
Tl2 0.6667 0.3333 0.2500  6 Br 3.31
Br1 0.0640 0.3956 0.1334  1 Hf 2.63
Br2 0.0640 0.6683 0.3666  1 Hf 2.63
Br3 0.3317 0.3956 0.3666  1 Hf 2.63
Br4 0.3317 0.9360 0.1334  1 Hf 2.63
Br5 0.3956 0.0640 0.6334  1 Hf 2.63
Br6 0.3956 0.3317 0.8666  1 Hf 2.63
Br7 0.6044 0.6683 0.1334  1 Hf 2.63
Br8 0.6044 0.9360 0.3666  1 Hf 2.63
Br9 0.6683 0.0640 0.8666  1 Hf 2.63
Br10 0.6683 0.6044 0.6334  1 Hf 2.63
Br11 0.9360 0.3317 0.6334  1 Hf 2.63
Br12 0.9360 0.6044 0.8666  1 Hf 2.63

# SmPa2Sb3

A relaxed SmPa2Sb3 crystal (GGA-PBE, Alexandria).

E	-6.684	eV per atom
theoretical density	8.97	g cm⁻³
space group	C2/m
formation energy without anion corrections	-4.0	eV/f.u.

Cell lengths 7.6110, 7.6110, 7.6496 Å; angles 99.54, 99.54, 120.02 degrees
Closest atoms and distances in Å follow each position.
Fractional coordinates of all 12 atoms:
Sm1 0.1661 0.8339 0.0000  6 Sb 3.13-3.14
Sm2 0.8339 0.1661 0.0000  6 Sb 3.13-3.14
Pa1 0.0000 0.0000 0.5000  6 Sb 3.10-3.12
Pa2 0.3310 0.6690 0.5000  6 Sb 3.09-3.11
Pa3 0.5000 0.5000 0.0000  6 Sb 3.10-3.11
Pa4 0.6690 0.3310 0.5000  6 Sb 3.09-3.11
Sb1 0.0858 0.4162 0.7480  4 Pa 3.09-3.10, 2 Sm 3.13-3.14
Sb2 0.2549 0.2549 0.2542  4 Pa 3.11-3.12, 2 Sm 3.14
Sb3 0.4162 0.0858 0.7480  4 Pa 3.09-3.10, 2 Sm 3.13-3.14
Sb4 0.5838 0.9142 0.2520  4 Pa 3.09-3.10, 2 Sm 3.13-3.14
Sb5 0.7451 0.7451 0.7458  4 Pa 3.11-3.12, 2 Sm 3.14
Sb6 0.9142 0.5838 0.2520  4 Pa 3.09-3.10, 2 Sm 3.13-3.14

# ReBP2O

A relaxed ReBP2O crystal (GGA-PBE, Alexandria).

E	-6.226	eV per atom
theoretical density	5.54	g cm⁻³
relative energy among the computed polymorphs	385	meV/atom
space group	P4/mmm
formation energy without anion corrections	3.8	eV/f.u.

Cell lengths 4.7217, 4.7217, 3.6977 Å; angles 90.00, 90.00, 90.00 degrees
Closest atoms and distances in Å follow each position.
Fractional coordinates of all 5 atoms:
Re1 0.0000 0.0000 0.0000  2 O 1.85
B1 0.5000 0.5000 0.5000  8 P 3.00, 4 O 3.34
P1 0.0000 0.5000 0.0000  2 Re 2.36
P2 0.5000 0.0000 0.0000  2 Re 2.36
O1 0.0000 0.0000 0.5000  2 Re 1.85

# TePt3Br

A relaxed TePt3Br crystal (GGA-PBE, Alexandria).

E	-3.667	eV per atom
theoretical density	10.29	g cm⁻³
relative energy among the computed polymorphs	0	meV/atom
space group	Pm-3m
formation energy without anion corrections	4.6	eV/f.u.

Cell lengths 5.0384, 5.0384, 5.0384 Å; angles 90.00, 90.00, 90.00 degrees
Closest atoms and distances in Å follow each position.
Fractional coordinates of all 5 atoms:
Te1 0.0000 0.0000 0.0000  6 Pt 2.52
Pt1 0.0000 0.0000 0.5000  2 Te 2.52
Pt2 0.0000 0.5000 0.0000  2 Te 2.52
Pt3 0.5000 0.0000 0.0000  2 Te 2.52
Br1 0.5000 0.5000 0.5000  12 Pt 3.56

Number 1: Fermi-level density of states 0.457 states/eV/atom. Number 2: Fermi-level density of states 0.771 states/eV/atom. Number 3: Fermi-level density of states 1.037 states/eV/atom. Number 4: Fermi-level density of states 1.914 states/eV/atom. Number 5: Fermi-level density of states 0.402 states/eV/atom. Number 6: Fermi-level density of states 1.056 states/eV/atom. Number 7: Fermi-level density of states 0.503 states/eV/atom. Number 8: Fermi-level density of states 0.409 states/eV/atom. Number 9: Fermi-level density of states 0.000 states/eV/atom. Number 10: Fermi-level density of states 1.751 states/eV/atom. Number 11: Fermi-level density of states 0.587 states/eV/atom. Number 12: Fermi-level density of states 1.608 states/eV/atom.